[1]
VASP calculation (PBE) on a relaxed NdY2Er6 crystal.

Geometry as CIF:
```
data_NdY2Er6
_space_group_name_H-M_alt 'P 42/m n m'
_space_group_IT_number 136
_space_group_name_Hall '-P 4n 2n'
_cell_length_a 10.6178
_cell_length_b 10.6178
_cell_length_c 5.0148
_cell_angle_alpha 90.00
_cell_angle_beta 90.00
_cell_angle_gamma 90.00
loop_
_atom_site_label
_atom_site_type_symbol
_atom_site_fract_x
_atom_site_fract_y
_atom_site_fract_z
Nd1 Nd 0.0000 0.0000 0.0000
Y1 Y 0.1678 0.1678 0.5000
Er1 Er 0.0006 0.3350 0.0000
Er2 Er 0.1676 0.8324 0.5000
```

Properties
- ΔE_f: 0.570 kcal/mol of atoms
- Energy: -0.183 Ha/atom
- D(E_F): 1.293 states/eV per atom
- Offset from the most stable computed form: 0.000 eV per atom

---

[2]
VASP calculation (PBE) on a relaxed Nd8YEr2 crystal.

Geometry as CIF:
```
data_Nd8YEr2
_space_group_name_H-M_alt 'P -1'
_space_group_IT_number 2
_cell_length_a 6.2936
_cell_length_b 8.1397
_cell_length_c 8.1538
_cell_angle_alpha 107.37
_cell_angle_beta 97.40
_cell_angle_gamma 104.98
loop_
_space_group_symop_operation_xyz
'x,y,z'
'-x,-y,-z'
loop_
_atom_site_label
_atom_site_type_symbol
_atom_site_fract_x
_atom_site_fract_y
_atom_site_fract_z
Nd1 Nd 0.0463 0.1836 0.4102
Nd2 Nd 0.1364 0.5451 0.2314
Nd3 Nd 0.2290 0.9101 0.0468
Nd4 Nd 0.3182 0.2739 0.8646
Y1 Y 0.5000 0.0000 0.5000
Er1 Er 0.4100 0.6360 0.6802
```

Properties
- ΔE_f: 0.352 kcal/mol of atoms
- Energy: -0.179 Ha/atom
- D(E_F): 1.474 states/eV per atom
- Offset from the most stable computed form: 0.000 eV per atom

---

[3]
VASP calculation (PBE) on a relaxed Nd4Y6Er crystal.

Geometry as CIF:
```
data_Nd4Y6Er
_space_group_name_H-M_alt 'C m c m'
_space_group_IT_number 63
_space_group_name_Hall '-C 2c 2'
_cell_length_a 5.7920
_cell_length_b 9.7457
_cell_length_c 26.0105
_cell_angle_alpha 90.00
_cell_angle_beta 90.00
_cell_angle_gamma 90.00
loop_
_atom_site_label
_atom_site_type_symbol
_atom_site_fract_x
_atom_site_fract_y
_atom_site_fract_z
Nd1 Nd 0.0000 0.0306 0.1223
Nd2 Nd 0.0000 0.3439 0.0451
Y1 Y 0.0000 0.0000 0.0000
Y2 Y 0.0000 0.0189 0.2500
Y3 Y 0.0000 0.3097 0.6069
Y4 Y 0.0000 0.3559 0.1832
Er1 Er 0.0000 0.3152 0.7500
```

Properties
- ΔE_f: 2.678 kcal/mol of atoms
- Energy: -0.204 Ha/atom
- D(E_F): 1.903 states/eV per atom
- Offset from the most stable computed form: 0.000 eV per atom

---

[4]
VASP calculation (PBE) on a relaxed Nd2Y12Er5 crystal.

Geometry as CIF:
```
data_Nd2Y12Er5
_space_group_name_H-M_alt 'C 1 2/m 1'
_space_group_IT_number 12
_cell_length_a 15.7050
_cell_length_b 9.3079
_cell_length_c 8.5603
_cell_angle_alpha 90.00
_cell_angle_beta 91.10
_cell_angle_gamma 90.00
loop_
_space_group_symop_operation_xyz
'x,y,z'
'-x,-y,-z'
'-x,y,-z'
'x,-y,z'
'x+1/2,y+1/2,z'
'-x+1/2,-y+1/2,-z'
'-x+1/2,y+1/2,-z'
'x+1/2,-y+1/2,z'
loop_
_atom_site_label
_atom_site_type_symbol
_atom_site_fract_x
_atom_site_fract_y
_atom_site_fract_z
Nd1 Nd 0.0000 0.1816 0.0000
Y1 Y 0.0577 0.0000 0.3282
Y2 Y 0.0910 0.5000 0.8799
Y3 Y 0.1270 0.1921 0.6530
Y4 Y 0.1557 0.3198 0.2417
Er1 Er 0.0000 0.5000 0.5000
Er2 Er 0.1976 0.0000 0.0107
Er3 Er 0.2318 0.5000 0.5761
```

Properties
- ΔE_f: 3.036 kcal/mol of atoms
- Energy: -0.208 Ha/atom
- D(E_F): 1.533 states/eV per atom
- Offset from the most stable computed form: 0.041 eV per atom

---

[5]
VASP calculation (PBE) on a relaxed Nd4Y2Er3 crystal.

Geometry as CIF:
```
data_Nd4Y2Er3
_space_group_name_H-M_alt 'C 1 2/c 1'
_space_group_IT_number 15
_cell_length_a 13.7487
_cell_length_b 13.6921
_cell_length_c 6.4527
_cell_angle_alpha 90.00
_cell_angle_beta 94.32
_cell_angle_gamma 90.00
loop_
_space_group_symop_operation_xyz
'x,y,z'
'-x,-y,-z'
'-x,y,-z+1/2'
'x,-y,z+1/2'
'x+1/2,y+1/2,z'
'-x+1/2,-y+1/2,-z'
'-x+1/2,y+1/2,-z+1/2'
'x+1/2,-y+1/2,z+1/2'
loop_
_atom_site_label
_atom_site_type_symbol
_atom_site_fract_x
_atom_site_fract_y
_atom_site_fract_z
Nd1 Nd 0.1073 0.2047 0.1133
Nd2 Nd 0.1289 0.3163 0.6068
Y1 Y 0.2097 0.4415 0.0493
Er1 Er 0.0000 0.4664 0.2500
Er2 Er 0.0947 0.0672 0.5915
```

Properties
- ΔE_f: 2.084 kcal/mol of atoms
- Energy: -0.183 Ha/atom
- D(E_F): 1.241 states/eV per atom
- Offset from the most stable computed form: 0.004 eV per atom

---

[6]
VASP calculation (PBE) on a relaxed Nd3Y3Er5 crystal.

Geometry as CIF:
```
data_Nd3Y3Er5
_space_group_name_H-M_alt 'P -6 2 m'
_space_group_IT_number 189
_space_group_name_Hall 'P -6 -2'
_cell_length_a 9.6138
_cell_length_b 9.6138
_cell_length_c 5.5232
_cell_angle_alpha 90.00
_cell_angle_beta 90.00
_cell_angle_gamma 120.00
loop_
_atom_site_label
_atom_site_type_symbol
_atom_site_fract_x
_atom_site_fract_y
_atom_site_fract_z
Nd1 Nd 0.0000 0.3658 0.0000
Y1 Y 0.0000 0.5464 0.5000
Er1 Er 0.0000 0.7316 0.0000
Er2 Er 0.3333 0.6667 0.0000
```

Properties
- ΔE_f: 18.684 kcal/mol of atoms
- Energy: -0.159 Ha/atom
- D(E_F): 1.567 states/eV per atom

---

[7]
VASP calculation (PBE) on a relaxed Nd3YEr4 crystal.

Geometry as CIF:
```
data_Nd3YEr4
_space_group_name_H-M_alt 'P m n 21'
_space_group_IT_number 31
_cell_length_a 11.4289
_cell_length_b 7.3189
_cell_length_c 6.2925
_cell_angle_alpha 90.00
_cell_angle_beta 90.00
_cell_angle_gamma 90.00
loop_
_space_group_symop_operation_xyz
'x,y,z'
'-x+1/2,-y,z+1/2'
'-x,y,z'
'x+1/2,-y,z+1/2'
loop_
_atom_site_label
_atom_site_type_symbol
_atom_site_fract_x
_atom_site_fract_y
_atom_site_fract_z
Nd1 Nd 0.0000 0.1290 0.0000
Nd2 Nd 0.2491 0.8723 0.8359
Y1 Y 0.0000 0.8700 0.4969
Er1 Er 0.0000 0.3780 0.4994
Er2 Er 0.0000 0.6197 0.9996
Er3 Er 0.2485 0.6204 0.3324
```

Properties
- ΔE_f: 0.470 kcal/mol of atoms
- Energy: -0.178 Ha/atom
- D(E_F): 1.791 states/eV per atom

---

[8]
VASP calculation (PBE) on a relaxed Nd6Y4Er crystal.

Geometry as CIF:
```
data_Nd6Y4Er
_space_group_name_H-M_alt 'C m c m'
_space_group_IT_number 63
_space_group_name_Hall '-C 2c 2'
_cell_length_a 5.8782
_cell_length_b 9.7704
_cell_length_c 26.0035
_cell_angle_alpha 90.00
_cell_angle_beta 90.00
_cell_angle_gamma 90.00
loop_
_atom_site_label
_atom_site_type_symbol
_atom_site_fract_x
_atom_site_fract_y
_atom_site_fract_z
Nd1 Nd 0.0000 0.0000 0.0000
Nd2 Nd 0.0000 0.0465 0.2500
Nd3 Nd 0.0000 0.3029 0.6023
Nd4 Nd 0.0000 0.3732 0.1830
Y1 Y 0.0000 0.0385 0.1242
Y2 Y 0.0000 0.3485 0.0445
Er1 Er 0.0000 0.2913 0.7500
```

Properties
- ΔE_f: 2.593 kcal/mol of atoms
- Energy: -0.193 Ha/atom
- D(E_F): 1.732 states/eV per atom
- Offset from the most stable computed form: 0.000 eV per atom

---

[9]
VASP calculation (PBE) on a relaxed Nd2Y8Er crystal.

Geometry as CIF:
```
data_Nd2Y8Er
_space_group_name_H-M_alt 'C 1 2/m 1'
_space_group_IT_number 12
_cell_length_a 9.0783
_cell_length_b 16.0396
_cell_length_c 5.9211
_cell_angle_alpha 90.00
_cell_angle_beta 121.96
_cell_angle_gamma 90.00
loop_
_space_group_symop_operation_xyz
'x,y,z'
'-x,-y,-z'
'-x,y,-z'
'x,-y,z'
'x+1/2,y+1/2,z'
'-x+1/2,-y+1/2,-z'
'-x+1/2,y+1/2,-z'
'x+1/2,-y+1/2,z'
loop_
_atom_site_label
_atom_site_type_symbol
_atom_site_fract_x
_atom_site_fract_y
_atom_site_fract_z
Nd1 Nd 0.0000 0.1940 0.0000
Y1 Y 0.0000 0.2918 0.5000
Y2 Y 0.0785 0.0000 0.2979
Y3 Y 0.2128 0.3855 0.1654
Er1 Er 0.0000 0.5000 0.5000
```

Properties
- ΔE_f: 3.601 kcal/mol of atoms
- Energy: -0.214 Ha/atom
- D(E_F): 1.433 states/eV per atom

---

[10]
VASP calculation (PBE) on a relaxed Nd8YEr3 crystal.

Geometry as CIF:
```
data_Nd8YEr3
_space_group_name_H-M_alt 'P 1'
_space_group_IT_number 1
_cell_length_a 6.9111
_cell_length_b 7.3502
_cell_length_c 8.6381
_cell_angle_alpha 89.77
_cell_angle_beta 76.57
_cell_angle_gamma 74.49
loop_
_space_group_symop_operation_xyz
'x,y,z'
loop_
_atom_site_label
_atom_site_type_symbol
_atom_site_fract_x
_atom_site_fract_y
_atom_site_fract_z
Nd1 Nd 0.0000 0.0000 0.0000
Nd2 Nd 0.0016 0.4952 0.0026
Nd3 Nd 0.2261 0.1912 0.2823
Nd4 Nd 0.3339 0.6654 0.6663
Nd5 Nd 0.5563 0.8610 0.9470
Nd6 Nd 0.6670 0.3335 0.3302
Nd7 Nd 0.8861 0.0306 0.6101
Nd8 Nd 0.8889 0.5268 0.6130
Y1 Y 0.2228 0.6938 0.2776
Er1 Er 0.3382 0.1653 0.6668
Er2 Er 0.5515 0.3603 0.9445
Er3 Er 0.6667 0.8323 0.3354
```

Properties
- ΔE_f: 0.554 kcal/mol of atoms
- Energy: -0.178 Ha/atom
- D(E_F): 1.706 states/eV per atom

---

[11]
VASP calculation (PBE) on a relaxed Nd5Y6Er2 crystal.

Geometry as CIF:
```
data_Nd5Y6Er2
_space_group_name_H-M_alt 'P b a m'
_space_group_IT_number 55
_cell_length_a 11.7278
_cell_length_b 20.6571
_cell_length_c 3.6090
_cell_angle_alpha 90.00
_cell_angle_beta 90.00
_cell_angle_gamma 90.00
loop_
_space_group_symop_operation_xyz
'x,y,z'
'-x,-y,-z'
'-x,-y,z'
'x,y,-z'
'x+1/2,-y+1/2,-z'
'-x+1/2,y+1/2,z'
'-x+1/2,y+1/2,-z'
'x+1/2,-y+1/2,z'
loop_
_atom_site_label
_atom_site_type_symbol
_atom_site_fract_x
_atom_site_fract_y
_atom_site_fract_z
Nd1 Nd 0.0000 0.0000 0.0000
Nd2 Nd 0.0843 0.2717 0.0000
Nd3 Nd 0.1994 0.5498 0.0000
Y1 Y 0.0599 0.4181 0.5000
Y2 Y 0.0822 0.1310 0.5000
Y3 Y 0.1748 0.8608 0.0000
Er1 Er 0.1698 0.7094 0.5000
```

Properties
- ΔE_f: 2.158 kcal/mol of atoms
- Energy: -0.199 Ha/atom
- D(E_F): 1.285 states/eV per atom

---

[12]
VASP calculation (PBE) on a relaxed Nd5Y8Er crystal.

Geometry as CIF:
```
data_Nd5Y8Er
_space_group_name_H-M_alt 'I -4'
_space_group_IT_number 82
_cell_length_a 9.6842
_cell_length_b 9.6842
_cell_length_c 10.1549
_cell_angle_alpha 90.00
_cell_angle_beta 90.00
_cell_angle_gamma 90.00
loop_
_space_group_symop_operation_xyz
'x,y,z'
'y,-x,-z'
'-x,-y,z'
'-y,x,-z'
'x+1/2,y+1/2,z+1/2'
'y+1/2,-x+1/2,-z+1/2'
'-x+1/2,-y+1/2,z+1/2'
'-y+1/2,x+1/2,-z+1/2'
loop_
_atom_site_label
_atom_site_type_symbol
_atom_site_fract_x
_atom_site_fract_y
_atom_site_fract_z
Nd1 Nd 0.0000 0.0000 0.0000
Nd2 Nd 0.1097 0.7853 0.5786
Y1 Y 0.0713 0.6747 0.9064
Y2 Y 0.0844 0.8228 0.2473
Er1 Er 0.0000 0.5000 0.2500
```

Properties
- ΔE_f: 5.442 kcal/mol of atoms
- Energy: -0.202 Ha/atom
- D(E_F): 1.413 states/eV per atom

---

[13]
VASP calculation (PBE) on a relaxed Nd3Y6Er crystal.

Geometry as CIF:
```
data_Nd3Y6Er
_space_group_name_H-M_alt 'R -3'
_space_group_IT_number 148
_space_group_name_Hall '-R 3'
_cell_length_a 9.9529
_cell_length_b 9.9529
_cell_length_c 11.7106
_cell_angle_alpha 90.00
_cell_angle_beta 90.00
_cell_angle_gamma 120.00
loop_
_atom_site_label
_atom_site_type_symbol
_atom_site_fract_x
_atom_site_fract_y
_atom_site_fract_z
Nd1 Nd 0.0000 0.0000 0.0000
Nd2 Nd 0.0000 0.0000 0.2500
Y1 Y 0.0034 0.3294 0.2499
Er1 Er 0.0000 0.0000 0.5000
```

Properties
- ΔE_f: 5.856 kcal/mol of atoms
- Energy: -0.203 Ha/atom
- D(E_F): 2.043 states/eV per atom
- Offset from the most stable computed form: 0.112 eV per atom

---

[14]
VASP calculation (PBE) on a relaxed Nd2YEr5 crystal.

Geometry as CIF:
```
data_Nd2YEr5
_space_group_name_H-M_alt 'C 1 2/c 1'
_space_group_IT_number 15
_cell_length_a 16.1564
_cell_length_b 9.8524
_cell_length_c 6.5440
_cell_angle_alpha 90.00
_cell_angle_beta 98.97
_cell_angle_gamma 90.00
loop_
_space_group_symop_operation_xyz
'x,y,z'
'-x,-y,-z'
'-x,y,-z+1/2'
'x,-y,z+1/2'
'x+1/2,y+1/2,z'
'-x+1/2,-y+1/2,-z'
'-x+1/2,y+1/2,-z+1/2'
'x+1/2,-y+1/2,z+1/2'
loop_
_atom_site_label
_atom_site_type_symbol
_atom_site_fract_x
_atom_site_fract_y
_atom_site_fract_z
Nd1 Nd 0.0784 0.2454 0.1158
Y1 Y 0.2500 0.2500 0.0000
Er1 Er 0.0000 0.4415 0.7500
Er2 Er 0.1008 0.0886 0.6469
Er3 Er 0.1972 0.4118 0.5241
```

Properties
- ΔE_f: 3.913 kcal/mol of atoms
- Energy: -0.172 Ha/atom
- D(E_F): 1.474 states/eV per atom
- Offset from the most stable computed form: 0.146 eV per atom

---

[15]
VASP calculation (PBE) on a relaxed Nd2Y7Er3 crystal.

Geometry as CIF:
```
data_Nd2Y7Er3
_space_group_name_H-M_alt 'P 1 2/m 1'
_space_group_IT_number 10
_cell_length_a 5.8004
_cell_length_b 3.6030
_cell_length_c 18.7522
_cell_angle_alpha 90.00
_cell_angle_beta 93.74
_cell_angle_gamma 90.00
loop_
_space_group_symop_operation_xyz
'x,y,z'
'-x,-y,-z'
'-x,y,-z'
'x,-y,z'
loop_
_atom_site_label
_atom_site_type_symbol
_atom_site_fract_x
_atom_site_fract_y
_atom_site_fract_z
Nd1 Nd 0.2053 0.0000 0.2947
Y1 Y 0.1792 0.5000 0.1418
Y2 Y 0.2416 0.0000 0.4624
Y3 Y 0.3171 0.0000 0.8230
Y4 Y 0.5000 0.5000 0.0000
Er1 Er 0.0000 0.0000 0.0000
Er2 Er 0.2792 0.5000 0.6307
```

Properties
- ΔE_f: 2.066 kcal/mol of atoms
- Energy: -0.206 Ha/atom
- D(E_F): 1.279 states/eV per atom
- Offset from the most stable computed form: 0.010 eV per atom

---

[16]
VASP calculation (PBE) on a relaxed Nd5Y4Er3 crystal.

Geometry as CIF:
```
data_Nd5Y4Er3
_space_group_name_H-M_alt 'C 1 2/m 1'
_space_group_IT_number 12
_cell_length_a 11.5229
_cell_length_b 5.4813
_cell_length_c 13.2334
_cell_angle_alpha 90.00
_cell_angle_beta 104.65
_cell_angle_gamma 90.00
loop_
_space_group_symop_operation_xyz
'x,y,z'
'-x,-y,-z'
'-x,y,-z'
'x,-y,z'
'x+1/2,y+1/2,z'
'-x+1/2,-y+1/2,-z'
'-x+1/2,y+1/2,-z'
'x+1/2,-y+1/2,z'
loop_
_atom_site_label
_atom_site_type_symbol
_atom_site_fract_x
_atom_site_fract_y
_atom_site_fract_z
Nd1 Nd 0.0000 0.0000 0.0000
Nd2 Nd 0.1390 0.0000 0.4650
Nd3 Nd 0.1717 0.5000 0.2633
Y1 Y 0.0887 0.5000 0.6295
Y2 Y 0.2313 0.5000 0.8960
Er1 Er 0.0000 0.5000 0.0000
Er2 Er 0.0438 0.0000 0.7821
```

Properties
- ΔE_f: 5.129 kcal/mol of atoms
- Energy: -0.186 Ha/atom
- D(E_F): 1.340 states/eV per atom

---

[17]
VASP calculation (PBE) on a relaxed NdY4Er5 crystal.

Geometry as CIF:
```
data_NdY4Er5
_space_group_name_H-M_alt 'I 4'
_space_group_IT_number 79
_cell_length_a 10.1535
_cell_length_b 10.1535
_cell_length_c 6.3357
_cell_angle_alpha 90.00
_cell_angle_beta 90.00
_cell_angle_gamma 90.00
loop_
_space_group_symop_operation_xyz
'x,y,z'
'-y,x,z'
'-x,-y,z'
'y,-x,z'
'x+1/2,y+1/2,z+1/2'
'-y+1/2,x+1/2,z+1/2'
'-x+1/2,-y+1/2,z+1/2'
'y+1/2,-x+1/2,z+1/2'
loop_
_atom_site_label
_atom_site_type_symbol
_atom_site_fract_x
_atom_site_fract_y
_atom_site_fract_z
Nd1 Nd 0.0000 0.0000 0.0000
Y1 Y 0.0481 0.3451 0.7700
Er1 Er 0.0000 0.0000 0.5451
Er2 Er 0.1431 0.2306 0.2736
```

Properties
- ΔE_f: 6.910 kcal/mol of atoms
- Energy: -0.185 Ha/atom
- D(E_F): 1.434 states/eV per atom
- Offset from the most stable computed form: 0.238 eV per atom

---

[18]
VASP calculation (PBE) on a relaxed Nd4Y3Er2 crystal.

Geometry as CIF:
```
data_Nd4Y3Er2
_space_group_name_H-M_alt 'C c c m'
_space_group_IT_number 66
_space_group_name_Hall '-C 2 2c'
_cell_length_a 9.8106
_cell_length_b 17.0714
_cell_length_c 7.1294
_cell_angle_alpha 90.00
_cell_angle_beta 90.00
_cell_angle_gamma 90.00
loop_
_atom_site_label
_atom_site_type_symbol
_atom_site_fract_x
_atom_site_fract_y
_atom_site_fract_z
Nd1 Nd 0.1651 0.0128 0.0000
Nd2 Nd 0.1855 0.3388 0.5000
Y1 Y 0.0000 0.1706 0.2500
Y2 Y 0.0000 0.5000 0.2500
Er1 Er 0.1492 0.3271 0.0000
```

Properties
- ΔE_f: 1.022 kcal/mol of atoms
- Energy: -0.193 Ha/atom
- D(E_F): 1.419 states/eV per atom
- Offset from the most stable computed form: 0.027 eV per atom